# 1
A crystal of MgCdIr relaxed with PBEsol. Source: Alexandria via LeMat-Bulk, functional meta-GGA SCAN.

* formation energy: 0.06 eV per atom

Cell lengths 6.233, 6.233, 6.233 Å; angles 90.00, 90.00, 90.00 degrees
Space group F-43m (No. 216)
One atom of each set of equivalent atoms:
Mg (0.000, 0.000, 0.000) [4 per cell]
Cd (0.000, 0.000, 0.500) [4 per cell]
Ir (0.250, 0.250, 0.750) [4 per cell]

***

# 2
A crystal of MgCdIr3 relaxed with PBEsol. Source: Alexandria via LeMat-Bulk, functional meta-GGA SCAN.

* formation energy: 2.14 eV per atom

Cell lengths 4.791, 4.791, 4.791 Å; angles 90.00, 90.00, 90.00 degrees
Space group Pm-3m (No. 221)
One atom of each set of equivalent atoms:
Mg (0.000, 0.000, 0.000) [1 per cell]
Cd (0.500, 0.500, 0.500) [1 per cell]
Ir (0.000, 0.500, 0.500) [3 per cell]

***

# 3
A crystal of MgCd2Ir relaxed with PBEsol. Source: Alexandria via LeMat-Bulk, functional meta-GGA SCAN.

* formation energy: -0.11 eV per atom

Cell lengths 4.073, 4.073, 4.151 Å; angles 90.00, 90.00, 90.00 degrees
Space group P4/mmm (No. 123)
One atom of each set of equivalent atoms:
Mg (0.000, 0.000, 0.000) [1 per cell]
Cd (0.000, 0.500, 0.500) [2 per cell]
Ir (0.500, 0.500, 0.000) [1 per cell]

***

# 4
A crystal of Mg3CdIr relaxed with PBEsol. Source: Alexandria via LeMat-Bulk, functional meta-GGA SCAN.

* formation energy: 0.00 eV per atom

Cell lengths 4.946, 4.946, 4.946 Å; angles 90.00, 90.00, 90.00 degrees
Space group Pm-3m (No. 221)
One atom of each set of equivalent atoms:
Mg (0.000, 0.000, 0.500) [3 per cell]
Cd (0.500, 0.500, 0.500) [1 per cell]
Ir (0.000, 0.000, 0.000) [1 per cell]

***

# 5
A crystal of MnCd2Ir relaxed with PBEsol. Source: Alexandria via LeMat-Bulk, functional meta-GGA SCAN.

* formation energy: 0.14 eV per atom

Cell lengths 2.901, 2.901, 7.801 Å; angles 90.00, 90.00, 90.00 degrees
Space group P4/mmm (No. 123)
One atom of each set of equivalent atoms:
Mn (0.000, 0.000, 0.000) [1 per cell]
Cd (0.500, 0.500, 0.254) [2 per cell]
Ir (0.000, 0.000, 0.500) [1 per cell]

***

# 6
A crystal of MnCdIr relaxed with PBEsol. Source: Alexandria via LeMat-Bulk, functional meta-GGA SCAN.

* formation energy: 0.17 eV per atom

Cell lengths 6.085, 6.085, 6.085 Å; angles 90.00, 90.00, 90.00 degrees
Space group F-43m (No. 216)
One atom of each set of equivalent atoms:
Mn (0.000, 0.000, 0.000) [4 per cell]
Cd (0.000, 0.000, 0.500) [4 per cell]
Ir (0.250, 0.250, 0.250) [4 per cell]

***

# 7
A crystal of MnCd2Ir relaxed with PBEsol. Source: Alexandria via LeMat-Bulk, functional meta-GGA SCAN.

* formation energy: 0.05 eV per atom

Cell lengths 5.599, 7.845, 2.988 Å; angles 90.00, 90.00, 90.00 degrees
Space group Cmmm (No. 65)
One atom of each set of equivalent atoms:
Mn (0.000, 0.000, 0.000) [2 per cell]
Cd (0.250, 0.250, 0.500) [4 per cell]
Ir (0.000, 0.500, 0.000) [2 per cell]

***

# 8
A crystal of RbMn2CdIr relaxed with PBEsol. Source: Alexandria via LeMat-Bulk, functional meta-GGA SCAN.

* formation energy: 1.57 eV per atom

Cell lengths 4.986, 4.986, 5.558 Å; angles 90.00, 90.00, 90.00 degrees
Space group P4/mmm (No. 123)
One atom of each set of equivalent atoms:
Rb (0.000, 0.000, 0.000) [1 per cell]
Mn (0.000, 0.500, 0.500) [2 per cell]
Cd (0.000, 0.000, 0.500) [1 per cell]
Ir (0.500, 0.500, 0.000) [1 per cell]